No. 1
Computed, not measured: a geometry-optimized Y2CoRhBr structure at the PBE level of DFT.

a b c (Å): 5.2802 4.9829 5.2802
angles (deg): 90.00 90.00 90.00
Closest atoms and distances in Å follow each position.
Fractional positions:
Y (0.0000, 0.0000, 0.5000)  2 Rh 2.64
Y (0.5000, 0.0000, 0.0000)  2 Rh 2.64
Co (0.5000, 0.5000, 0.5000)  8 Y 3.63, 4 Br 3.73
Rh (0.0000, 0.0000, 0.0000)  2 Br 2.49, 4 Y 2.64
Br (0.0000, 0.5000, 0.0000)  2 Rh 2.49

D(E_F) = 0.67 states/eV/atom
Energy above the most stable polymorph in this dataset = 510 meV per atom
Calculated volume = 138.9 Å³ per cell
DFT total energy = -27.5 eV per cell
Total moment = 0.297 μB per atom


No. 2
Computed, not measured: a geometry-optimized Y2CoRhBr structure at the PBE level of DFT.

a b c (Å): 5.2942 4.3733 5.2942
angles (deg): 90.00 90.00 90.00
Closest atoms and distances in Å follow each position.
Fractional positions:
Y (0.0000, 0.0000, 0.5000)  2 Co 2.65
Y (0.5000, 0.0000, 0.0000)  2 Co 2.65
Co (0.0000, 0.0000, 0.0000)  2 Rh 2.19
Rh (0.0000, 0.5000, 0.0000)  2 Co 2.19
Br (0.5000, 0.5000, 0.5000)  8 Y 3.43, 4 Rh 3.74

D(E_F) = 0.56 states/eV/atom
Energy above the most stable polymorph in this dataset = 0 meV per atom
Calculated volume = 122.6 Å³ per cell
DFT total energy = -30.1 eV per cell
Total moment = 0.000 μB per atom


No. 3
Computed, not measured: a geometry-optimized CoRuBr2 structure at the PBE level of DFT.

a b c (Å): 3.2184 6.1810 4.0449
angles (deg): 90.00 90.00 90.00
Closest atoms and distances in Å follow each position.
Fractional positions:
Br (0.0000, 0.0000, 0.0000)  4 Co 2.58
Br (0.5000, 0.5000, 0.0000)  4 Ru 2.58
Co (0.5000, 0.0000, 0.5000)  4 Br 2.58
Ru (0.0000, 0.5000, 0.5000)  4 Br 2.58

D(E_F) = 1.58 states/eV/atom
Energy above the most stable polymorph in this dataset = 678 meV per atom
Calculated volume = 80.5 Å³ per cell
DFT total energy = -16.2 eV per cell
Total moment = 1.060 μB per atom


No. 4
Computed, not measured: a geometry-optimized CoRuBr2 structure at the PBE level of DFT.

a b c (Å): 6.4220 6.4220 6.4220
angles (deg): 146.75 146.75 47.74
Closest atoms and distances in Å follow each position.
Fractional positions:
Br (0.0000, 0.0000, 0.0000)  4 Co 2.60
Br (0.2500, 0.7500, 0.5000)  4 Ru 2.60
Co (0.5000, 0.5000, 0.0000)  4 Br 2.60
Ru (0.7500, 0.2500, 0.5000)  4 Br 2.60

D(E_F) = 1.66 states/eV/atom
Energy above the most stable polymorph in this dataset = 717 meV per atom
Calculated volume = 79.3 Å³ per cell
DFT total energy = -16.1 eV per cell
Total moment = 1.055 μB per atom


No. 5
Computed, not measured: a geometry-optimized CoRuBr3 structure at the PBE level of DFT.

a b c (Å): 5.0527 5.0527 5.0527
angles (deg): 90.00 90.00 90.00
Closest atoms and distances in Å follow each position.
Fractional positions:
Co (0.5000, 0.5000, 0.5000)  12 Br 3.57
Ru (0.0000, 0.0000, 0.0000)  6 Br 2.53
Br (0.0000, 0.5000, 0.0000)  2 Ru 2.53
Br (0.0000, 0.0000, 0.5000)  2 Ru 2.53
Br (0.5000, 0.0000, 0.0000)  2 Ru 2.53

D(E_F) = 1.98 states/eV/atom
Calculated volume = 129.0 Å³ per cell
DFT total energy = -17.5 eV per cell
Total moment = 0.380 μB per atom


No. 6
Computed, not measured: a geometry-optimized CoRuBr2 structure at the PBE level of DFT.

a b c (Å): 5.3436 5.3436 3.3818
angles (deg): 68.04 68.04 98.02
Closest atoms and distances in Å follow each position.
Fractional positions:
Br (0.0000, 0.0000, 0.0000)  2 Co 2.57, 2 Ru 2.57
Br (0.5000, 0.5000, 0.0000)  2 Ru 2.57, 2 Co 2.57
Co (0.5000, 0.0000, 0.5000)  4 Br 2.57
Ru (0.0000, 0.5000, 0.5000)  4 Br 2.57

D(E_F) = 1.49 states/eV/atom
Energy above the most stable polymorph in this dataset = 663 meV per atom
Calculated volume = 78.6 Å³ per cell
DFT total energy = -16.3 eV per cell
Total moment = 0.934 μB per atom